AcLa5Ho6 | PBE-GGA | relaxed Values from VASP.

The structure in Quantum ESPRESSO input format:
```
&SYSTEM
  ibrav = 0, nat = 12, ntyp = 3
/
ATOMIC_SPECIES
Ac 227.00 Ac.upf
La 138.91 La.upf
Ho 164.93 Ho.upf
CELL_PARAMETERS angstrom
8.9571 -3.7269 0.0000
8.9571 3.7269 0.0000
-0.3231 0.0000 6.2156
ATOMIC_POSITIONS angstrom
Ac 0.0000 0.0000 0.0000
La 2.7804 0.0000 4.1236
La 5.8599 0.0000 2.0826
La 8.9571 0.0000 0.0000
La 11.7313 0.0000 4.1329
La 14.8108 0.0000 2.0920
Ho 5.6775 1.8494 5.1873
Ho 8.7956 1.8348 3.1078
Ho 11.9136 1.8494 1.0283
Ho 5.6775 -1.8494 5.1873
Ho 8.7956 -1.8348 3.1078
Ho 11.9136 -1.8494 1.0283
```

Output
**M_tot**: 0.00 μB per cell
**Energy relative to the elements**: 0.4 eV/f.u.

AcLaHo5 | PBE-GGA | relaxed Values from VASP.

The structure in Quantum ESPRESSO input format:
```
&SYSTEM
  ibrav = 0, nat = 14, ntyp = 3
/
ATOMIC_SPECIES
Ac 227.00 Ac.upf
La 138.91 La.upf
Ho 164.93 Ho.upf
CELL_PARAMETERS angstrom
4.4955 -4.9442 0.0000
4.4955 4.9442 0.0000
-4.0534 0.0000 10.8300
ATOMIC_POSITIONS angstrom
Ac 2.2478 2.4721 0.0000
Ac 0.2210 -2.4721 5.4150
La 1.4554 2.6401 8.1225
La 3.4822 -2.6401 2.7075
Ho -1.5565 0.7534 7.2135
Ho 0.4702 -0.7534 1.7985
Ho 1.1107 1.0138 5.0368
Ho 3.4822 0.7504 2.7075
Ho -0.9160 -1.0138 10.4518
Ho 5.8536 1.0138 0.3782
Ho 1.4554 -0.7504 8.1225
Ho 3.8269 -1.0138 5.7933
Ho 4.4674 0.7534 9.0315
Ho 6.4942 -0.7534 3.6165
```

Output
**M_tot**: 0.00 μB per cell
**Energy relative to the elements**: 0.7 eV/f.u.

AcLa3Ho4 | PBE-GGA | relaxed Values from VASP.

The structure in Quantum ESPRESSO input format:
```
&SYSTEM
  ibrav = 0, nat = 8, ntyp = 3
/
ATOMIC_SPECIES
Ac 227.00 Ac.upf
La 138.91 La.upf
Ho 164.93 Ho.upf
CELL_PARAMETERS angstrom
-1.7539 5.9712 6.7305
1.7539 -5.9712 6.7305
1.7539 5.9712 -6.7305
ATOMIC_POSITIONS angstrom
Ac 0.0000 0.0000 0.0000
La 1.7539 0.0000 3.2951
La 0.0000 0.0000 6.7305
La 0.0000 5.9712 3.4353
Ho 1.7539 -2.9553 4.8963
Ho 0.0000 3.0159 1.8342
Ho 1.7539 2.9553 4.8963
Ho 0.0000 8.9266 1.8342
```

Output
**M_tot**: 0.00 μB per cell
**Energy relative to the elements**: 1.3 eV/f.u.

AcLa3Ho | PBE-GGA | relaxed Values from VASP.

The structure in Quantum ESPRESSO input format:
```
&SYSTEM
  ibrav = 0, nat = 10, ntyp = 3
/
ATOMIC_SPECIES
Ac 227.00 Ac.upf
La 138.91 La.upf
Ho 164.93 Ho.upf
CELL_PARAMETERS angstrom
9.2795 0.0000 0.0000
0.0000 3.6929 0.0000
-3.5014 0.0000 10.8693
ATOMIC_POSITIONS angstrom
Ac 1.7627 0.0000 0.5911
Ac 4.0154 0.0000 10.2782
La -0.9435 1.8465 2.9307
La 6.7217 1.8465 7.9387
La 0.6826 1.8465 9.1809
La 2.4995 1.8465 3.8383
La 3.2787 1.8465 7.0310
La 5.0955 1.8465 1.6884
Ho 0.0426 0.0000 5.9975
Ho 5.7355 0.0000 4.8719
```

Output
**M_tot**: 0.00 μB per cell
**Energy relative to the elements**: 0.3 eV/f.u.
**Energy above the lowest structure with this stoichiometry**: 0 meV per atom

Ac8LaHo5 | PBE-GGA | relaxed Values from VASP.

The structure in Quantum ESPRESSO input format:
```
&SYSTEM
  ibrav = 0, nat = 14, ntyp = 3
/
ATOMIC_SPECIES
Ac 227.00 Ac.upf
La 138.91 La.upf
Ho 164.93 Ho.upf
CELL_PARAMETERS angstrom
-5.0880 5.0880 5.4822
5.0880 -5.0880 5.4822
5.0880 5.0880 -5.4822
ATOMIC_POSITIONS angstrom
Ac 4.3809 1.7682 -1.0495
Ac 1.8409 -0.9061 2.7540
Ac 3.2471 5.9940 -2.7282
Ac 3.3198 -0.7071 6.5318
Ac 4.1819 3.2471 2.7282
Ac 1.7682 5.7951 1.0495
Ac 0.7071 3.3198 4.4327
Ac 0.9061 1.8409 8.2105
La 5.0880 0.0000 2.7411
Ho 8.1754 1.0565 -0.7850
Ho 1.0565 2.0006 0.7850
Ho 0.0000 0.0000 5.4822
Ho -3.0874 4.0314 4.6973
Ho 4.0314 3.0874 6.2672
```

Output
**M_tot**: 0.00 μB per cell
**Energy relative to the elements**: 3.6 eV/f.u.

AcLa2Ho | PBE-GGA | relaxed Values from VASP.

The structure in Quantum ESPRESSO input format:
```
&SYSTEM
  ibrav = 0, nat = 4, ntyp = 3
/
ATOMIC_SPECIES
Ac 227.00 Ac.upf
La 138.91 La.upf
Ho 164.93 Ho.upf
CELL_PARAMETERS angstrom
0.0000 4.2394 4.2394
4.2394 0.0000 4.2394
4.2394 4.2394 0.0000
ATOMIC_POSITIONS angstrom
Ac 0.0000 0.0000 0.0000
La 2.1197 2.1197 2.1197
La 6.3590 6.3590 6.3590
Ho 4.2394 4.2394 4.2394
```

Output
**M_tot**: 1.03 μB per cell
**Energy relative to the elements**: 0.6 eV/f.u.
**Energy above the lowest structure with this stoichiometry**: 136 meV per atom

Ac6La2Ho | PBE-GGA | relaxed Values from VASP.

The structure in Quantum ESPRESSO input format:
```
&SYSTEM
  ibrav = 0, nat = 18, ntyp = 3
/
ATOMIC_SPECIES
Ac 227.00 Ac.upf
La 138.91 La.upf
Ho 164.93 Ho.upf
CELL_PARAMETERS angstrom
6.7752 0.0000 0.0000
0.0000 10.3348 0.0000
-6.5502 0.0000 10.8023
ATOMIC_POSITIONS angstrom
Ac -0.9757 1.2640 2.2067
Ac -4.2508 3.9034 7.6078
Ac -2.2764 7.3245 7.0188
Ac 0.9987 8.1777 1.6177
Ac 2.3982 1.5796 0.1788
Ac -0.8769 3.5878 5.5799
Ac 1.1019 6.7470 5.2224
Ac -2.1732 8.7553 10.6235
Ac -0.7737 2.1571 9.1846
Ac 2.5014 3.0103 3.7835
Ac 4.4758 6.4314 3.1945
Ac 1.2007 9.0708 8.5956
La -3.1787 0.6925 6.8738
La 0.0964 4.4749 1.4726
La 0.1286 5.8600 9.3297
La 3.4037 9.6423 3.9285
Ho 0.1125 0.0000 5.4011
Ho 3.3876 5.1674 0.0000
```

Output
**M_tot**: 0.00 μB per cell
**Energy relative to the elements**: 1.1 eV/f.u.
**Energy above the lowest structure with this stoichiometry**: 47 meV per atom

AcLa12Ho7 | PBE-GGA | relaxed Values from VASP.

The structure in Quantum ESPRESSO input format:
```
&SYSTEM
  ibrav = 0, nat = 20, ntyp = 3
/
ATOMIC_SPECIES
Ac 227.00 Ac.upf
La 138.91 La.upf
Ho 164.93 Ho.upf
CELL_PARAMETERS angstrom
9.8537 5.6890 2.1417
-9.8537 5.6890 2.1417
0.0000 -11.3781 2.1417
ATOMIC_POSITIONS angstrom
Ac 0.0000 0.0000 0.0000
La -3.5181 -2.0244 1.9013
La -8.0246 0.0039 3.2089
La -4.0157 -6.9476 3.2163
La 3.5122 -2.0346 1.9013
La 0.0059 4.0589 1.9013
La 4.0089 -6.9515 3.2089
La -4.0089 6.9515 3.2163
La -0.0059 -4.0589 4.5239
La -3.5122 2.0346 4.5239
La 4.0157 6.9476 3.2089
La 8.0246 -0.0039 3.2163
La 3.5181 2.0244 4.5239
Ho -0.0058 -2.8789 1.4008
Ho -2.4903 1.4445 1.4008
Ho 2.4962 1.4344 1.4008
Ho 0.0000 0.0000 3.2126
Ho -2.4962 -1.4344 5.0244
Ho 2.4903 -1.4445 5.0244
Ho 0.0059 2.8790 5.0244
```

Output
**M_tot**: 0.00 μB per cell
**Energy relative to the elements**: 5.2 eV/f.u.